8
Lattice="-1.546 1.539 -2.678 -5.290 -0.557 2.733 2.460 5.209 1.573" Properties=species:S:1:pos:R:3 comment="SmTm2NpN4, optimized geometry, DFT PBE-GGA" formation_energy_uncorrected_ev_per_atom=-1.535 dos_at_fermi_per_ev_cell=6.15 rho_g_cm3=11.125 pbc="T T T"
Np 0.000 0.000 0.000
N -3.447 0.879 2.495
N -2.941 4.237 1.905
N 0.618 3.773 1.811
N -1.433 1.953 -0.277
Tm 0.457 3.374 -0.552
Tm -1.415 2.326 2.153
Sm -3.418 0.491 0.028


4
Lattice="4.178 0.000 0.000 0.000 4.189 0.000 0.000 0.000 4.659" Properties=species:S:1:pos:R:3 comment="PaGaGeAu, optimized geometry, DFT PBE-GGA" dos_at_fermi_per_ev_cell=4.47 delta_e_f_ev_per_atom=-0.374 relative_energy_mev_per_atom=0.0 rho_g_cm3=11.617 pbc="T T T"
Au 0.000 2.094 2.329
Ge 2.089 2.094 0.000
Pa 0.000 0.000 0.000
Ga 2.089 0.000 2.329


5
Lattice="-4.817 -0.853 1.725 -0.001 -4.648 -2.302 1.924 -2.138 4.317" Properties=species:S:1:pos:R:3 comment="CaPb3F, optimized geometry, DFT PBE-GGA" formation_energy_uncorrected_ev_per_atom=-0.708 dos_at_fermi_per_ev_cell=2.95 relative_energy_mev_per_atom=0.0 rho_g_cm3=8.099 pbc="T T T"
F 0.000 0.000 0.000
Pb 0.962 -1.069 2.158
Pb -2.408 -0.427 0.862
Pb 0.000 -2.324 -1.151
Ca -1.447 -3.820 1.870


22
Lattice="8.196 -0.102 0.034 -0.034 8.197 0.034 0.103 0.102 8.196" Properties=species:S:1:pos:R:3 comment="NaSm4Se6, optimized geometry, DFT PBE-GGA" formation_energy_uncorrected_ev_per_atom=-1.674 dos_at_fermi_per_ev_cell=9.73 rho_g_cm3=6.624 pbc="T T T"
Sm 1.192 6.199 5.280
Sm 6.224 2.958 7.082
Sm 5.298 7.057 6.198
Sm 2.968 1.140 2.066
Sm 2.042 5.239 1.182
Sm 7.074 1.998 2.984
Sm 6.148 6.097 2.100
Sm 2.118 2.100 6.164
Na 4.133 4.099 4.132
Na 0.000 0.000 0.000
Se 0.714 2.635 0.510
Se 5.566 0.436 0.744
Se 4.821 3.561 1.496
Se 3.445 4.637 6.768
Se 4.649 1.464 4.842
Se 7.767 0.692 5.594
Se 3.617 6.733 3.422
Se 6.774 4.791 4.642
Se 2.700 7.761 7.520
Se 7.551 5.562 7.754
Se 1.492 3.406 3.622
Se 0.498 7.505 2.670


5
Lattice="4.588 0.000 0.000 0.000 4.588 0.000 0.000 0.000 4.588" Properties=species:S:1:pos:R:3 comment="HfBe3I, optimized geometry, DFT PBE-GGA" formation_energy_uncorrected_ev_per_atom=1.695 dos_at_fermi_per_ev_cell=4.63 relative_energy_mev_per_atom=17.7 rho_g_cm3=5.717 pbc="T T T"
Be 0.000 2.294 0.000
Be 2.294 0.000 0.000
Be 0.000 0.000 2.294
I 0.000 0.000 0.000
Hf 2.294 2.294 2.294


4
Lattice="9.303 -0.074 -0.044 8.595 3.561 -0.044 8.595 1.674 3.143" Properties=species:S:1:pos:R:3 comment="PbSe2Cl, optimized geometry, DFT PBE-GGA" formation_energy_uncorrected_ev_per_atom=-0.011 dos_at_fermi_per_ev_cell=3.63 relative_energy_mev_per_atom=414.1 rho_g_cm3=6.184 pbc="T T T"
Cl 12.945 2.522 1.493
Se 26.446 5.152 3.050
Se 7.016 1.367 0.809
Pb 19.824 3.862 2.286


11
Lattice="4.322 0.000 0.000 0.000 4.322 0.000 0.000 0.000 11.227" Properties=species:S:1:pos:R:3 comment="Ce2Ga8Ni, optimized geometry, DFT PBE-GGA" dos_at_fermi_per_ev_cell=8.81 delta_e_f_ev_per_atom=-0.492 rho_g_cm3=7.100 pbc="T T T"
Ga 0.000 2.161 9.909
Ga 2.161 2.161 3.399
Ga 2.161 2.161 7.828
Ga 2.161 0.000 1.318
Ga 2.161 0.000 5.614
Ga 0.000 2.161 5.614
Ga 2.161 0.000 9.909
Ga 0.000 2.161 1.318
Ce 0.000 0.000 7.808
Ce 0.000 0.000 3.419
Ni 0.000 0.000 0.000


16
Lattice="-1.448 -4.905 -0.497 5.196 -2.012 4.721 -6.613 1.166 7.776" Properties=species:S:1:pos:R:3 comment="NdY3Al4, optimized geometry, DFT PBE-GGA" dos_at_fermi_per_ev_cell=6.63 delta_e_f_ev_per_atom=-0.400 rho_g_cm3=4.470 pbc="T T T"
Al -0.098 -3.393 7.213
Al 3.209 -3.976 3.325
Al -1.839 -5.100 2.595
Al -1.027 -0.651 9.406
Al -2.768 -2.358 4.787
Al -3.698 0.384 6.979
Al 0.832 -6.135 5.021
Al 0.538 -2.941 0.899
Y -2.377 -2.159 1.696
Y -5.685 -1.580 5.584
Y 0.000 0.000 0.000
Y -3.087 -2.585 7.944
Y 0.221 -3.166 4.056
Y -3.307 0.583 3.888
Nd -0.709 -0.423 6.248
Nd 2.598 -1.006 2.360


14
Lattice="6.915 0.000 0.792 0.000 5.919 0.000 -1.717 0.000 7.690" Properties=species:S:1:pos:R:3 comment="Ba2TeO4, optimized geometry, DFT PBE-GGA" formation_energy_uncorrected_ev_per_atom=-2.039 dos_at_fermi_per_ev_cell=0.00 rho_g_cm3=4.797 pbc="T T T"
Ba -0.237 1.480 2.708
Ba 1.006 1.480 7.150
Ba 4.193 4.439 1.332
Ba 5.435 4.439 5.774
O 3.463 0.035 6.841
O -1.046 1.480 5.202
O 1.735 5.883 1.641
O 0.311 4.439 6.982
O 4.887 1.480 1.500
O 1.735 2.995 1.641
O 6.244 4.439 3.280
O 3.463 2.924 6.841
Te 4.444 1.480 7.605
Te 0.754 4.439 0.877


5
Lattice="3.874 0.000 0.000 0.000 4.289 0.000 0.000 0.000 3.874" Properties=species:S:1:pos:R:3 comment="AlMoHPt2, optimized geometry, DFT PBE-GGA" dos_at_fermi_per_ev_cell=2.40 relative_energy_mev_per_atom=0.0 rho_g_cm3=13.261 pbc="T T T"
Al 1.937 2.145 1.937
Pt 0.000 0.000 1.937
Pt 1.937 0.000 0.000
H 0.000 0.000 0.000
Mo 0.000 2.145 0.000


5
Lattice="4.991 0.000 0.000 0.000 4.991 0.000 0.000 0.000 5.043" Properties=species:S:1:pos:R:3 comment="YCd2NiPb, optimized geometry, DFT PBE-GGA" dos_at_fermi_per_ev_cell=2.50 delta_e_f_ev_per_atom=-0.102 rho_g_cm3=7.660 pbc="T T T"
Pb 2.496 2.496 2.522
Ni 0.000 0.000 0.000
Y 0.000 0.000 2.522
Cd 2.496 0.000 0.000
Cd 0.000 2.496 0.000


4
Lattice="-0.475 3.748 -0.200 -0.830 -0.301 -3.679 -4.537 -0.519 1.066" Properties=species:S:1:pos:R:3 comment="ScMo2Pt, optimized geometry, DFT PBE-GGA" dos_at_fermi_per_ev_cell=2.69 delta_e_f_ev_per_atom=-0.279 relative_energy_mev_per_atom=30.8 rho_g_cm3=10.684 pbc="T T T"
Pt -2.506 1.615 0.433
Mo 0.000 0.000 0.000
Mo -0.653 1.724 -1.940
Sc -2.683 -0.410 -1.307